# 1
VASP calculation (PBE) on a relaxed Al4AgAu5 crystal.

a b c (Å): 2.913 9.973 12.308
angles (deg): 90.00 90.00 90.00
Space group Immm (No. 71)
Inequivalent atoms, fractional coordinates:
1 Al 0.000 0.000 0.216 [4 per cell]
2 Al 0.000 0.280 0.500 [4 per cell]
3 Ag 0.000 0.000 0.500 [2 per cell]
4 Au 0.000 0.000 0.000 [2 per cell]
5 Au 0.000 0.325 0.163 [8 per cell]

Magnetization, μB/f.u.: 0.00
Calculated formation energy, kJ/mol of formula units: -237
DFT total energy, eV per formula unit: -36.66

---

# 2
VASP calculation (PBE) on a relaxed AlAgAu2 crystal.

a b c (Å): 3.284 3.284 6.402
angles (deg): 90.00 90.00 90.00
Space group P4mm (No. 99)
Inequivalent atoms, fractional coordinates:
1 Al 0.000 0.000 0.000 [1 per cell]
2 Ag 0.500 0.500 0.756 [1 per cell]
3 Au 0.000 0.000 0.492 [1 per cell]
4 Au 0.500 0.500 0.209 [1 per cell]

Magnetization, μB/f.u.: 0.00
Calculated formation energy, kJ/mol of formula units: -55
Distance to the lowest polymorph of the same formula, meV/atom: 95.7
DFT total energy, eV per formula unit: -13.72